Computed, not measured: a PBEsol-optimized structure of SrZnCl2 at the SCAN level of DFT.

Computed properties:
Calculated volume   110.8 Å³ per cell
E_form (uncorrected)   -1.57 eV/atom
E above lowest polymorph   107.2 meV per atom
Electronic total energy   -58.03 eV per cell
Crystal system   tetragonal

CIF file:
```
data_SrZnCl2
_cell_length_a 3.628
_cell_length_b 3.628
_cell_length_c 8.422
_cell_angle_alpha 90.00
_cell_angle_beta 90.00
_cell_angle_gamma 90.00
_symmetry_space_group_name_H-M 'P 1'
_symmetry_Int_Tables_number 1
_symmetry_space_group_name_Hall 'P 1'
loop_
_atom_site_label
_atom_site_type_symbol
_atom_site_fract_x
_atom_site_fract_y
_atom_site_fract_z
Sr1 Sr 0.000 0.000 0.000
Zn1 Zn 0.000 0.000 0.500
Cl1 Cl 0.500 0.500 0.187
Cl2 Cl 0.500 0.500 0.813
```

Computed, not measured: a PBEsol-optimized structure of SrZnCl2 at the SCAN level of DFT.

Computed properties:
Calculated volume   140.5 Å³ per cell
E_form (uncorrected)   -1.68 eV/atom
E above lowest polymorph   0.0 meV per atom
Electronic total energy   -58.46 eV per cell
Crystal system   monoclinic

CIF file:
```
data_SrZnCl2
_cell_length_a 4.360
_cell_length_b 4.360
_cell_length_c 8.884
_cell_angle_alpha 103.87
_cell_angle_beta 103.87
_cell_angle_gamma 60.02
_symmetry_space_group_name_H-M 'P 1'
_symmetry_Int_Tables_number 1
_symmetry_space_group_name_Hall 'P 1'
loop_
_atom_site_label
_atom_site_type_symbol
_atom_site_fract_x
_atom_site_fract_y
_atom_site_fract_z
Sr1 Sr 0.000 0.000 0.000
Zn1 Zn 0.500 0.500 0.500
Cl1 Cl 0.280 0.280 0.837
Cl2 Cl 0.720 0.720 0.163
```

Computed, not measured: a PBEsol-optimized structure of SrZnCl4 at the SCAN level of DFT.

Computed properties:
Calculated volume   295.6 Å³ per cell
E_form (uncorrected)   -2.03 eV/atom
Electronic total energy   -159.77 eV per cell
Crystal system   tetragonal

CIF file:
```
data_SrZnCl4
_cell_length_a 8.470
_cell_length_b 8.470
_cell_length_c 8.470
_cell_angle_alpha 135.37
_cell_angle_beta 135.37
_cell_angle_gamma 64.96
_symmetry_space_group_name_H-M 'P 1'
_symmetry_Int_Tables_number 1
_symmetry_space_group_name_Hall 'P 1'
loop_
_atom_site_label
_atom_site_type_symbol
_atom_site_fract_x
_atom_site_fract_y
_atom_site_fract_z
Sr1 Sr 0.375 0.125 0.250
Sr2 Sr 0.625 0.875 0.750
Zn1 Zn 0.125 0.375 0.750
Zn2 Zn 0.875 0.625 0.250
Cl1 Cl 0.051 0.199 0.335
Cl2 Cl 0.216 0.551 0.352
Cl3 Cl 0.301 0.136 0.852
Cl4 Cl 0.364 0.716 0.165
Cl5 Cl 0.636 0.284 0.835
Cl6 Cl 0.699 0.864 0.148
Cl7 Cl 0.784 0.449 0.648
Cl8 Cl 0.949 0.801 0.665
```

Computed, not measured: a PBEsol-optimized structure of SrZnCl2 at the SCAN level of DFT.

Computed properties:
Calculated volume   94.1 Å³ per cell
E_form (uncorrected)   -1.47 eV/atom
E above lowest polymorph   208.7 meV per atom
Electronic total energy   -57.62 eV per cell
Crystal system   tetragonal

CIF file:
```
data_SrZnCl2
_cell_length_a 5.906
_cell_length_b 5.906
_cell_length_c 5.906
_cell_angle_alpha 137.16
_cell_angle_beta 137.16
_cell_angle_gamma 62.19
_symmetry_space_group_name_H-M 'P 1'
_symmetry_Int_Tables_number 1
_symmetry_space_group_name_Hall 'P 1'
loop_
_atom_site_label
_atom_site_type_symbol
_atom_site_fract_x
_atom_site_fract_y
_atom_site_fract_z
Sr1 Sr 0.000 0.000 0.000
Zn1 Zn 0.750 0.250 0.500
Cl1 Cl 0.250 0.750 0.500
Cl2 Cl 0.500 0.500 0.000
```

Computed, not measured: a PBEsol-optimized structure of SrZr2Cl at the SCAN level of DFT.

Computed properties:
Calculated volume   99.3 Å³ per cell
E_form (uncorrected)   0.47 eV/atom
E above lowest polymorph   528.0 meV per atom
Electronic total energy   -89.79 eV per cell
Crystal system   cubic

CIF file:
```
data_SrZr2Cl
_cell_length_a 5.198
_cell_length_b 5.198
_cell_length_c 5.198
_cell_angle_alpha 60.00
_cell_angle_beta 60.00
_cell_angle_gamma 60.00
_symmetry_space_group_name_H-M 'P 1'
_symmetry_Int_Tables_number 1
_symmetry_space_group_name_Hall 'P 1'
loop_
_atom_site_label
_atom_site_type_symbol
_atom_site_fract_x
_atom_site_fract_y
_atom_site_fract_z
Sr1 Sr 0.000 0.000 0.000
Zr1 Zr 0.500 0.500 0.500
Zr2 Zr 0.750 0.750 0.750
Cl1 Cl 0.250 0.250 0.250
```

Computed, not measured: a PBEsol-optimized structure of Sr2ZrCl at the SCAN level of DFT.

Computed properties:
Calculated volume   117.7 Å³ per cell
E_form (uncorrected)   -0.29 eV/atom
Electronic total energy   -84.37 eV per cell
Crystal system   orthorhombic

CIF file:
```
data_Sr2ZrCl
_cell_length_a 6.796
_cell_length_b 6.796
_cell_length_c 6.796
_cell_angle_alpha 151.00
_cell_angle_beta 128.77
_cell_angle_gamma 59.94
_symmetry_space_group_name_H-M 'P 1'
_symmetry_Int_Tables_number 1
_symmetry_space_group_name_Hall 'P 1'
loop_
_atom_site_label
_atom_site_type_symbol
_atom_site_fract_x
_atom_site_fract_y
_atom_site_fract_z
Sr1 Sr 0.000 0.000 0.000
Sr2 Sr 0.692 0.192 0.500
Zr1 Zr 0.285 0.785 0.500
Cl1 Cl 0.469 0.469 0.000
```

What is the E_form (uncorrected) in the second record? -1.68 eV/atom

What is the calculated volume in the sixth record? 117.7 Å³ per cell

E_form (uncorrected) of number 2 (SrZnCl2)? -1.68 eV/atom

What did the first record say?
Computed, not measured: a PBEsol-optimized structure of SrZnCl2 at the SCAN level of DFT.

Computed properties:
Calculated volume   110.8 Å³ per cell
E_form (uncorrected)   -1.57 eV/atom
E above lowest polymorph   107.2 meV per atom
Electronic total energy   -58.03 eV per cell
Crystal system   tetragonal

CIF file:
```
data_SrZnCl2
_cell_length_a 3.628
_cell_length_b 3.628
_cell_length_c 8.422
_cell_angle_alpha 90.00
_cell_angle_beta 90.00
_cell_angle_gamma 90.00
_symmetry_space_group_name_H-M 'P 1'
_symmetry_Int_Tables_number 1
_symmetry_space_group_name_Hall 'P 1'
loop_
_atom_site_label
_atom_site_type_symbol
_atom_site_fract_x
_atom_site_fract_y
_atom_site_fract_z
Sr1 Sr 0.000 0.000 0.000
Zn1 Zn 0.000 0.000 0.500
Cl1 Cl 0.500 0.500 0.187
Cl2 Cl 0.500 0.500 0.813
```